[1]
Entry from Alexandria: a relaxed PmSc2Ga6 crystal (PBE).

Unit cell a=7.5347 b=7.5347 c=7.5347 alpha=147.60 beta=125.03 gamma=65.27
Atoms (fractional coordinates):
Pm1 0.0000 0.0000 0.0000
Sc1 0.3780 0.8780 0.5000
Sc2 0.6220 0.1220 0.5000
Ga1 0.0074 0.3101 0.6974
Ga2 0.3196 0.5000 0.8196
Ga3 0.3873 0.6899 0.6974
Ga4 0.6127 0.3101 0.3026
Ga5 0.6804 0.5000 0.1804
Ga6 0.9926 0.6899 0.3026

Calculated volume: 185.52 Å³/cell
Symmetry: Immm (71)
Total magnetic moment: 0.00 Bohr magnetons per cell
Formation energy: -503 meV/atom
Crystal system: orthorhombic
Excess energy over the best structure of this formula in the dataset: 45 meV per atom



[2]
Entry from Alexandria: a relaxed PmScGaSi crystal (PBE).

Unit cell a=6.9986 b=6.9986 c=6.9986 alpha=90.00 beta=90.00 gamma=90.00
Atoms (fractional coordinates):
Pm1 0.0000 0.0000 0.0000
Pm2 0.0000 0.5000 0.5000
Pm3 0.5000 0.0000 0.5000
Pm4 0.5000 0.5000 0.0000
Sc1 0.0000 0.0000 0.5000
Sc2 0.0000 0.5000 0.0000
Sc3 0.5000 0.0000 0.0000
Sc4 0.5000 0.5000 0.5000
Ga1 0.2500 0.2500 0.7500
Ga2 0.2500 0.7500 0.2500
Ga3 0.7500 0.2500 0.2500
Ga4 0.7500 0.7500 0.7500
Si1 0.2500 0.2500 0.2500
Si2 0.2500 0.7500 0.7500
Si3 0.7500 0.2500 0.7500
Si4 0.7500 0.7500 0.2500

Calculated volume: 342.80 Å³/cell
Symmetry: F-43m (216)
Total magnetic moment: 0.00 Bohr magnetons per cell
Crystal system: cubic
Formation energy without anion corrections: -457 meV/atom



[3]
Entry from Alexandria: a relaxed PmSmScGa crystal (PBE).

Unit cell a=7.4898 b=7.4898 c=7.4898 alpha=90.00 beta=90.00 gamma=90.00
Atoms (fractional coordinates):
Pm1 0.0000 0.0000 0.0000
Pm2 0.0000 0.5000 0.5000
Pm3 0.5000 0.0000 0.5000
Pm4 0.5000 0.5000 0.0000
Sm1 0.0000 0.0000 0.5000
Sm2 0.0000 0.5000 0.0000
Sm3 0.5000 0.0000 0.0000
Sm4 0.5000 0.5000 0.5000
Sc1 0.2500 0.2500 0.7500
Sc2 0.2500 0.7500 0.2500
Sc3 0.7500 0.2500 0.2500
Sc4 0.7500 0.7500 0.7500
Ga1 0.2500 0.2500 0.2500
Ga2 0.2500 0.7500 0.7500
Ga3 0.7500 0.2500 0.7500
Ga4 0.7500 0.7500 0.2500

Calculated volume: 420.15 Å³/cell
Symmetry: F-43m (216)
Total magnetic moment: 4.05 Bohr magnetons per cell
Formation energy: -145 meV/atom
Crystal system: cubic